(1)
Material: BaMnZn3
Method: DFT, PBE-GGA
State: relaxed

E = -1.725 eV per atom
E above lowest polymorph = 1169 meV/atom
Formation energy from the elements = 1.258 eV per atom

Unit cell a=6.0508 b=6.0508 c=6.0508 alpha=90.00 beta=90.00 gamma=90.00
Closest atoms and distances in Å follow each position.
Fractional positions:
1 Zn 0.0000 0.0000 0.5000  2 Ba 3.03
2 Zn 0.5000 0.0000 0.0000  2 Ba 3.03
3 Zn 0.0000 0.5000 0.0000  2 Ba 3.03
4 Mn 0.5000 0.5000 0.5000  12 Zn 4.28
5 Ba 0.0000 0.0000 0.0000  6 Zn 3.03

(2)
Material: BaMnZn3
Method: DFT, PBE-GGA
State: relaxed

E = -2.893 eV per atom
E above lowest polymorph = 0 meV/atom
Formation energy from the elements = 0.090 eV per atom

Unit cell a=4.9374 b=4.9374 c=4.9374 alpha=90.00 beta=90.00 gamma=90.00
Closest atoms and distances in Å follow each position.
Fractional positions:
1 Ba 0.5000 0.5000 0.5000  12 Zn 3.49
2 Mn 0.0000 0.0000 0.0000  6 Zn 2.47
3 Zn 0.5000 0.0000 0.0000  2 Mn 2.47
4 Zn 0.0000 0.5000 0.0000  2 Mn 2.47
5 Zn 0.0000 0.0000 0.5000  2 Mn 2.47

(3)
Material: BaMnZn2
Method: DFT, PBE-GGA
State: relaxed

E = -3.274 eV per atom
Formation energy from the elements = 0.136 eV per atom

Unit cell a=3.4373 b=3.4140 c=8.3173 alpha=65.58 beta=90.00 gamma=90.00
Closest atoms and distances in Å follow each position.
Fractional positions:
1 Mn 0.5000 0.7500 0.7500  8 Zn 2.75
2 Zn 0.0000 0.4222 0.5781  1 Zn 2.60, 4 Mn 2.75
3 Ba 0.5000 0.2500 0.2500  4 Ba 3.41-3.44, 8 Zn 3.47, 2 Mn 3.79
4 Zn 0.0000 0.0778 0.9219  1 Zn 2.60, 4 Mn 2.75

(4)
Material: BaMn4Zn
Method: DFT, PBE-GGA
State: relaxed

E = -6.007 eV per atom
Formation energy from the elements = 0.639 eV per atom

Unit cell a=5.4670 b=5.4670 c=5.4670 alpha=60.00 beta=60.00 gamma=60.00
Closest atoms and distances in Å follow each position.
Fractional positions:
1 Mn 0.8671 0.3776 0.3776  6 Mn 2.68-2.79
2 Ba 0.0000 0.0000 0.0000  12 Mn 3.21, 4 Zn 3.35
3 Mn 0.3776 0.8671 0.3776  6 Mn 2.68-2.79
4 Mn 0.3776 0.3776 0.3776  6 Mn 2.68-2.79
5 Zn 0.7500 0.7500 0.7500  12 Mn 3.20, 4 Ba 3.35
6 Mn 0.3776 0.3776 0.8671  6 Mn 2.68-2.79

(5)
Material: BaMnZn2
Method: DFT, PBE-GGA
State: relaxed

E = -3.138 eV per atom
Formation energy from the elements = 0.272 eV per atom

Unit cell a=3.4793 b=3.4783 c=7.6474 alpha=90.00 beta=90.00 gamma=90.00
Closest atoms and distances in Å follow each position.
Fractional positions:
1 Zn 0.5000 0.5000 0.1804  1 Mn 2.62, 4 Zn 2.89
2 Zn 0.0000 0.0000 0.9815  4 Mn 2.69, 4 Zn 2.89
3 Ba 0.0000 0.0000 0.4999  5 Zn 3.47-3.68, 4 Ba 3.48, 4 Mn 3.57
4 Mn 0.5000 0.5000 0.8382  5 Zn 2.62-2.69

(6)
Material: Ba3MnZn
Method: DFT, PBE-GGA
State: relaxed

E = -2.730 eV per atom
E above lowest polymorph = 0 meV/atom
Formation energy from the elements = 0.512 eV per atom

Unit cell a=6.3498 b=6.3498 c=6.3498 alpha=90.00 beta=90.00 gamma=90.00
Closest atoms and distances in Å follow each position.
Fractional positions:
1 Ba 0.0000 0.5000 0.0000  2 Zn 3.17
2 Ba 0.0000 0.0000 0.5000  2 Zn 3.17
3 Mn 0.5000 0.5000 0.5000  12 Ba 4.49
4 Ba 0.5000 0.0000 0.0000  2 Zn 3.17
5 Zn 0.0000 0.0000 0.0000  6 Ba 3.17

(7)
Material: BaZr2Mn
Method: DFT, PBE-GGA
State: relaxed

E = -6.291 eV per atom
E above lowest polymorph = 459 meV/atom
Formation energy from the elements = 0.756 eV per atom

Unit cell a=5.6337 b=5.6337 c=5.6337 alpha=130.06 beta=130.06 gamma=73.31
Closest atoms and distances in Å follow each position.
Fractional positions:
1 Zr 0.2500 0.7500 0.5000  4 Zr 3.28, 4 Ba 3.28, 4 Mn 3.36
2 Ba 0.5000 0.5000 0.0000  4 Mn 3.28, 8 Zr 3.28-3.36
3 Mn 0.7500 0.2500 0.5000  8 Zr 3.28-3.36, 4 Ba 3.28
4 Zr 0.0000 0.0000 0.0000  4 Zr 3.28, 4 Mn 3.28, 4 Ba 3.36

(8)
Material: BaZr2Mn
Method: DFT, PBE-GGA
State: relaxed

E = -6.279 eV per atom
E above lowest polymorph = 471 meV/atom
Formation energy from the elements = 0.768 eV per atom

Unit cell a=5.2869 b=5.2869 c=5.2869 alpha=60.00 beta=60.00 gamma=60.00
Closest atoms and distances in Å follow each position.
Fractional positions:
1 Ba 0.5000 0.5000 0.5000  4 Mn 3.24, 4 Zr 3.24
2 Zr 0.0000 0.0000 0.0000  4 Mn 3.24, 4 Zr 3.24
3 Zr 0.2500 0.2500 0.2500  4 Ba 3.24, 4 Zr 3.24
4 Mn 0.7500 0.7500 0.7500  4 Zr 3.24, 4 Ba 3.24